# Cs2BaSn2Te4

An optimized crystal structure of Cs2BaSn2Te4 (PBE, Alexandria).

a = 10.184 Å, b = 10.184 Å, c = 9.818 Å
α = 116.88°, β = 116.88°, γ = 26.18°
Sites, in units of the cell vectors:
Cs 0.119 0.119 0.047
Cs 0.881 0.881 0.953
Ba 0.000 0.000 0.500
Sn 0.301 0.301 0.456
Sn 0.699 0.699 0.544
Te 0.194 0.194 0.743
Te 0.452 0.452 0.712
Te 0.548 0.548 0.288
Te 0.806 0.806 0.257

Properties
E_tot = -3.60 eV per atom
Theoretical density = 4.804 g/cm3
Crystal system = monoclinic
Formation energy from raw total energies = -0.913 eV per atom

***

# Ni2MoPd

An optimized crystal structure of Ni2MoPd (PBE, Alexandria).

a = 6.636 Å, b = 6.636 Å, c = 5.230 Å
α = 90.00°, β = 90.00°, γ = 90.00°
Sites, in units of the cell vectors:
Ni 0.235 0.750 0.125
Ni 0.250 0.235 0.875
Ni 0.250 0.265 0.375
Ni 0.265 0.750 0.625
Ni 0.735 0.250 0.625
Ni 0.750 0.735 0.375
Ni 0.750 0.765 0.875
Ni 0.765 0.250 0.125
Mo 0.000 0.000 0.000
Mo 0.000 0.500 0.250
Mo 0.500 0.000 0.750
Mo 0.500 0.500 0.500
Pd 0.000 0.000 0.500
Pd 0.000 0.500 0.750
Pd 0.500 0.000 0.250
Pd 0.500 0.500 0.000

Properties
E_tot = -6.42 eV per atom
Theoretical density = 9.223 g/cm3
Crystal system = tetragonal
Offset from the most stable computed form = 1.99 eV per formula unit
Energy relative to the elements = 0.48 eV/atom

***

# Na2GaSb

An optimized crystal structure of Na2GaSb (PBE, Alexandria).

a = 4.441 Å, b = 4.441 Å, c = 21.449 Å
α = 90.00°, β = 90.00°, γ = 90.00°
Sites, in units of the cell vectors:
Na 0.247 0.250 0.125
Na 0.250 0.747 0.375
Na 0.250 0.753 0.875
Na 0.253 0.250 0.625
Na 0.747 0.750 0.625
Na 0.750 0.247 0.875
Na 0.750 0.253 0.375
Na 0.753 0.750 0.125
Ga 0.000 0.000 0.000
Ga 0.000 0.500 0.250
Ga 0.500 0.000 0.750
Ga 0.500 0.500 0.500
Sb 0.000 0.000 0.500
Sb 0.000 0.500 0.750
Sb 0.500 0.000 0.250
Sb 0.500 0.500 0.000

Properties
E_tot = -2.44 eV per atom
Theoretical density = 3.728 g/cm3
Crystal system = tetragonal
Formation energy from raw total energies = 0.004 eV per atom

***

# K2NpZn2Te4

An optimized crystal structure of K2NpZn2Te4 (PBE, Alexandria).

a = 8.476 Å, b = 8.476 Å, c = 8.469 Å
α = 107.09°, β = 107.09°, γ = 31.05°
Sites, in units of the cell vectors:
K 0.129 0.129 0.057
K 0.871 0.871 0.943
Np 0.000 0.000 0.500
Zn 0.332 0.332 0.511
Zn 0.668 0.668 0.489
Te 0.207 0.207 0.679
Te 0.485 0.485 0.750
Te 0.515 0.515 0.250
Te 0.793 0.793 0.321

Properties
E_tot = -4.02 eV per atom
Theoretical density = 5.314 g/cm3
Crystal system = monoclinic
Formation energy from raw total energies = -0.661 eV per atom